1.
PrNdEr2Tm2: relaxed, PBE.

Cell lengths 6.9266, 9.8057, 5.6557 Å; angles 90.00, 90.00, 90.00 degrees
Closest atoms and distances in Å follow each position.
Sites, in units of the cell vectors:
Pr  0.0000  0.0000  0.0000  2 Nd 3.46, 6 Tm 3.70, 6 Er 3.70
Pr  0.5000  0.5000  0.5000  2 Nd 3.46, 6 Tm 3.70, 6 Er 3.70
Nd  0.0000  0.5000  0.5000  2 Pr 3.46, 6 Tm 3.69-3.70, 6 Er 3.70
Nd  0.5000  0.0000  0.0000  2 Pr 3.46, 6 Tm 3.69-3.70, 6 Er 3.70
Er  0.2501  0.1667  0.5000  5 Tm 3.27-3.47
Er  0.2499  0.6667  0.0000  5 Tm 3.27-3.47
Er  0.7501  0.3333  0.0000  5 Tm 3.27-3.47
Er  0.7499  0.8333  0.5000  5 Tm 3.27-3.47
Tm  0.2498  0.3337  0.0000  5 Er 3.27-3.47
Tm  0.2502  0.8337  0.5000  5 Er 3.27-3.47
Tm  0.7498  0.1663  0.5000  5 Er 3.27-3.47
Tm  0.7502  0.6663  0.0000  5 Er 3.27-3.47

Values from the calculation:
Space group: Pnnm, No. 58

---

2.
Pr3NdEr2Tm6: relaxed, PBE.

Cell lengths 6.1835, 6.1835, 11.7271 Å; angles 95.03, 95.03, 119.98 degrees
Closest atoms and distances in Å follow each position.
Sites, in units of the cell vectors:
Pr  0.0000  0.0000  0.0000  6 Pr 3.57, 6 Tm 3.58
Pr  0.3331  0.6669  0.0000  6 Pr 3.57, 6 Tm 3.58
Pr  0.6669  0.3331  0.0000  6 Pr 3.57, 6 Tm 3.58
Nd  0.5000  0.5000  0.5000  6 Tm 3.52, 6 Er 3.57
Er  0.1668  0.8332  0.5000  6 Tm 3.51-3.52, 3 Nd 3.57, 3 Er 3.57
Er  0.8332  0.1668  0.5000  6 Tm 3.51-3.52, 3 Nd 3.57, 3 Er 3.57
Tm  0.0836  0.4175  0.2535  2 Er 3.51, 1 Nd 3.52, 6 Tm 3.57-3.58, 3 Pr 3.58
Tm  0.2486  0.2486  0.7466  1 Nd 3.52, 2 Er 3.52, 6 Tm 3.57-3.58, 3 Pr 3.58
Tm  0.4175  0.0836  0.2535  2 Er 3.51, 1 Nd 3.52, 6 Tm 3.57-3.58, 3 Pr 3.58
Tm  0.5825  0.9164  0.7465  2 Er 3.51, 1 Nd 3.52, 6 Tm 3.57-3.58, 3 Pr 3.58
Tm  0.7514  0.7514  0.2534  1 Nd 3.52, 2 Er 3.52, 6 Tm 3.57-3.58, 3 Pr 3.58
Tm  0.9164  0.5825  0.7465  2 Er 3.51, 1 Nd 3.52, 6 Tm 3.57-3.58, 3 Pr 3.58

Values from the calculation:
Space group: C2/m, No. 12

---

3.
PrNd2Er6Tm3: relaxed, PBE.

Cell lengths 6.1516, 6.1516, 11.7254 Å; angles 95.02, 95.02, 119.96 degrees
Closest atoms and distances in Å follow each position.
Sites, in units of the cell vectors:
Pr  0.0000  0.0000  0.0000  6 Nd 3.55, 6 Er 3.59
Nd  0.3334  0.6666  0.0000  3 Nd 3.55, 3 Pr 3.55, 6 Er 3.59
Nd  0.6666  0.3334  0.0000  3 Nd 3.55, 3 Pr 3.55, 6 Er 3.59
Er  0.0861  0.4197  0.2553  3 Tm 3.49-3.50, 6 Er 3.55-3.56, 2 Nd 3.59, 1 Pr 3.59
Er  0.2474  0.2474  0.7447  3 Tm 3.49, 6 Er 3.55-3.56, 1 Pr 3.59, 2 Nd 3.59
Er  0.4197  0.0861  0.2553  3 Tm 3.49-3.50, 6 Er 3.55-3.56, 2 Nd 3.59, 1 Pr 3.59
Er  0.5803  0.9139  0.7447  3 Tm 3.49-3.50, 6 Er 3.55-3.56, 2 Nd 3.59, 1 Pr 3.59
Er  0.7526  0.7526  0.2553  3 Tm 3.49, 6 Er 3.55-3.56, 1 Pr 3.59, 2 Nd 3.59
Er  0.9139  0.5803  0.7447  3 Tm 3.49-3.50, 6 Er 3.55-3.56, 2 Nd 3.59, 1 Pr 3.59
Tm  0.1667  0.8333  0.5000  6 Er 3.49-3.50, 6 Tm 3.55
Tm  0.5000  0.5000  0.5000  6 Er 3.49, 6 Tm 3.55
Tm  0.8333  0.1667  0.5000  6 Er 3.49-3.50, 6 Tm 3.55

Values from the calculation:
Space group: C2/m, No. 12

---

4.
PrNd2ErTm2: relaxed, PBE.

Cell lengths 7.0398, 9.8539, 5.6601 Å; angles 90.00, 90.00, 90.00 degrees
Closest atoms and distances in Å follow each position.
Sites, in units of the cell vectors:
Pr  0.0000  0.0000  0.0000  2 Er 3.52, 6 Tm 3.71-3.73, 6 Nd 3.71-3.73
Pr  0.5000  0.5000  0.5000  2 Er 3.52, 6 Tm 3.71-3.73, 6 Nd 3.71-3.73
Nd  0.2468  0.3332  0.0000  5 Tm 3.27-3.54
Nd  0.2532  0.8332  0.5000  5 Tm 3.27-3.54
Nd  0.7468  0.1668  0.5000  5 Tm 3.27-3.54
Nd  0.7532  0.6668  0.0000  5 Tm 3.27-3.54
Er  0.0000  0.5000  0.5000  2 Pr 3.52, 6 Nd 3.71-3.74, 6 Tm 3.72-3.73
Er  0.5000  0.0000  0.0000  2 Pr 3.52, 6 Nd 3.71-3.74, 6 Tm 3.72-3.73
Tm  0.2498  0.1665  0.5000  5 Nd 3.27-3.54
Tm  0.2502  0.6665  0.0000  5 Nd 3.27-3.54
Tm  0.7498  0.3335  0.0000  5 Nd 3.27-3.54
Tm  0.7502  0.8335  0.5000  5 Nd 3.27-3.54

Values from the calculation:
Space group: Pnnm, No. 58

---

5.
Pr6NdErTm2: relaxed, PBE.

Cell lengths 8.9781, 8.9781, 9.7726 Å; angles 94.26, 94.26, 117.40 degrees
Closest atoms and distances in Å follow each position.
Sites, in units of the cell vectors:
Pr  0.0126  0.5653  0.1851  2 Pr 3.31-3.68, 1 Nd 3.49, 1 Tm 3.52, 1 Er 3.57
Pr  0.1097  0.7619  0.5548  7 Pr 3.46-3.85, 2 Tm 3.47-3.84, 2 Er 3.67-3.83
Pr  0.2381  0.8903  0.9452  7 Pr 3.46-3.85, 2 Tm 3.47-3.84, 2 Er 3.67-3.83
Pr  0.2958  0.5096  0.3805  3 Pr 3.31-3.46, 3 Tm 3.34-3.51, 2 Nd 3.49-3.60
Pr  0.4347  0.9874  0.3149  2 Pr 3.31-3.68, 1 Nd 3.49, 1 Tm 3.52, 1 Er 3.57
Pr  0.4904  0.7042  0.1195  3 Pr 3.31-3.46, 3 Tm 3.34-3.51, 2 Nd 3.49-3.60
Pr  0.5096  0.2958  0.8805  3 Pr 3.31-3.46, 3 Tm 3.34-3.51, 2 Nd 3.49-3.60
Pr  0.5653  0.0126  0.6851  2 Pr 3.31-3.68, 1 Nd 3.49, 1 Tm 3.52, 1 Er 3.57
Pr  0.7042  0.4904  0.6195  3 Pr 3.31-3.46, 3 Tm 3.34-3.51, 2 Nd 3.49-3.60
Pr  0.7619  0.1097  0.0548  7 Pr 3.46-3.85, 2 Tm 3.47-3.84, 2 Er 3.67-3.83
Pr  0.8903  0.2381  0.4452  7 Pr 3.46-3.85, 2 Tm 3.47-3.84, 2 Er 3.67-3.83
Pr  0.9874  0.4347  0.8149  2 Pr 3.31-3.68, 1 Nd 3.49, 1 Tm 3.52, 1 Er 3.57
Nd  0.4073  0.5927  0.7500  6 Pr 3.49-3.60, 2 Tm 3.59
Nd  0.5927  0.4073  0.2500  6 Pr 3.49-3.60, 2 Tm 3.59
Er  0.0298  0.9702  0.2500  4 Tm 3.42-3.43, 6 Pr 3.57-3.83
Er  0.9702  0.0298  0.7500  4 Tm 3.42-3.43, 6 Pr 3.57-3.83
Tm  0.1959  0.2896  0.0473  5 Pr 3.34-3.52, 2 Er 3.42-3.43, 1 Nd 3.59
Tm  0.2896  0.1959  0.5473  5 Pr 3.34-3.52, 2 Er 3.42-3.43, 1 Nd 3.59
Tm  0.7104  0.8041  0.4527  5 Pr 3.34-3.52, 2 Er 3.42-3.43, 1 Nd 3.59
Tm  0.8041  0.7104  0.9527  5 Pr 3.34-3.52, 2 Er 3.42-3.43, 1 Nd 3.59

Values from the calculation:
Space group: C2/c, No. 15

---

6.
PrNd4ErTm2: relaxed, PBE.

Cell lengths 11.3728, 5.1318, 10.2756 Å; angles 90.00, 116.96, 90.00 degrees
Closest atoms and distances in Å follow each position.
Sites, in units of the cell vectors:
Pr  0.0000  0.0000  0.0000  8 Nd 3.61-3.62, 4 Tm 3.65
Pr  0.5000  0.5000  0.0000  8 Nd 3.61-3.62, 4 Tm 3.65
Nd  0.2488  0.0000  0.8729  1 Er 3.59, 4 Tm 3.60-3.65, 3 Pr 3.61, 4 Nd 3.63-3.65
Nd  0.2491  0.5000  0.6235  4 Tm 3.57-3.61, 3 Er 3.60-3.61, 4 Nd 3.62-3.63, 1 Pr 3.62
Nd  0.2509  0.0000  0.3765  4 Tm 3.57-3.61, 3 Er 3.60-3.61, 4 Nd 3.62-3.63, 1 Pr 3.62
Nd  0.2512  0.5000  0.1271  1 Er 3.59, 4 Tm 3.60-3.65, 3 Pr 3.61, 4 Nd 3.63-3.65
Nd  0.7491  0.0000  0.6235  4 Tm 3.57-3.61, 3 Er 3.60-3.61, 4 Nd 3.62-3.63, 1 Pr 3.62
Nd  0.7488  0.5000  0.8729  1 Er 3.59, 4 Tm 3.60-3.65, 3 Pr 3.61, 4 Nd 3.63-3.65
Nd  0.7512  0.0000  0.1271  1 Er 3.59, 4 Tm 3.60-3.65, 3 Pr 3.61, 4 Nd 3.63-3.65
Nd  0.7509  0.5000  0.3765  4 Tm 3.57-3.61, 3 Er 3.60-3.61, 4 Nd 3.62-3.63, 1 Pr 3.62
Er  0.0000  0.0000  0.5000  8 Nd 3.59-3.61, 4 Tm 3.61
Er  0.5000  0.5000  0.5000  8 Nd 3.59-3.61, 4 Tm 3.61
Tm  0.0000  0.5000  0.2529  8 Nd 3.57-3.65, 2 Er 3.61, 2 Pr 3.65
Tm  0.0000  0.5000  0.7471  8 Nd 3.57-3.65, 2 Er 3.61, 2 Pr 3.65
Tm  0.5000  0.0000  0.2529  8 Nd 3.57-3.65, 2 Er 3.61, 2 Pr 3.65
Tm  0.5000  0.0000  0.7471  8 Nd 3.57-3.65, 2 Er 3.61, 2 Pr 3.65

Values from the calculation:
Space group: C2/m, No. 12

---

7.
Pr2Nd5ErTm: relaxed, PBE.

Cell lengths 10.4756, 10.4756, 10.4756 Å; angles 131.67, 131.67, 70.75 degrees
Closest atoms and distances in Å follow each position.
Sites, in units of the cell vectors:
Pr  0.1234  0.6234  0.7467  1 Pr 2.99, 2 Nd 3.11
Pr  0.3766  0.1234  0.5000  1 Pr 2.99, 2 Nd 3.11
Pr  0.6234  0.8766  0.5000  1 Pr 2.99, 2 Nd 3.11
Pr  0.8766  0.3766  0.2533  1 Pr 2.99, 2 Nd 3.11
Nd  0.0000  0.0000  0.0000  4 Pr 3.40
Nd  0.0764  0.1336  0.5000  1 Pr 3.11, 1 Tm 3.23
Nd  0.1336  0.6336  0.0571  1 Pr 3.11, 1 Tm 3.23
Nd  0.3664  0.4236  0.5000  1 Pr 3.11, 1 Tm 3.23
Nd  0.4236  0.9236  0.0571  1 Pr 3.11, 1 Tm 3.23
Nd  0.5000  0.5000  0.0000  4 Pr 3.40
Nd  0.5764  0.0764  0.9429  1 Pr 3.11, 1 Tm 3.23
Nd  0.6336  0.5764  0.5000  1 Pr 3.11, 1 Tm 3.23
Nd  0.8664  0.3664  0.9429  1 Pr 3.11, 1 Tm 3.23
Nd  0.9236  0.8664  0.5000  1 Pr 3.11, 1 Tm 3.23
Er  0.2500  0.2500  0.0000  8 Nd 3.54
Er  0.7500  0.7500  0.0000  8 Nd 3.54
Tm  0.2500  0.7500  0.5000  4 Nd 3.23
Tm  0.7500  0.2500  0.5000  4 Nd 3.23

Values from the calculation:
Space group: I4/mcm, No. 140

---

8.
PrNd2ErTm4: relaxed, PBE.

Cell lengths 9.4960, 9.4960, 9.4960 Å; angles 138.18, 103.00, 91.71 degrees
Closest atoms and distances in Å follow each position.
Sites, in units of the cell vectors:
Pr  0.0000  0.0000  0.0000  6 Tm 3.31-3.41, 2 Nd 3.39
Pr  0.5000  0.0000  0.5000  6 Tm 3.31-3.41, 2 Nd 3.39
Nd  0.0000  0.5000  0.5000  6 Tm 3.31-3.41, 2 Pr 3.39
Nd  0.5000  0.0000  0.0000  6 Tm 3.37-3.46, 2 Nd 3.39
Nd  0.5000  0.5000  0.0000  6 Tm 3.31-3.41, 2 Pr 3.39
Nd  0.5000  0.5000  0.5000  6 Tm 3.37-3.46, 2 Nd 3.39
Er  0.0000  0.0000  0.5000  6 Tm 3.24-3.36, 2 Er 3.39
Er  0.0000  0.5000  0.0000  6 Tm 3.24-3.36, 2 Er 3.39
Tm  0.2449  0.2450  0.5001  1 Er 3.24, 3 Nd 3.37-3.41, 2 Tm 3.39, 2 Pr 3.41
Tm  0.2451  0.2500  0.9951  1 Pr 3.31, 3 Nd 3.31-3.46, 2 Er 3.36, 2 Tm 3.39
Tm  0.2449  0.7448  0.9999  1 Er 3.24, 3 Nd 3.37-3.41, 2 Tm 3.39, 2 Pr 3.41
Tm  0.2451  0.7500  0.4951  1 Pr 3.31, 3 Nd 3.31-3.46, 2 Er 3.36, 2 Tm 3.39
Tm  0.7549  0.2500  0.5049  1 Pr 3.31, 3 Nd 3.31-3.46, 2 Er 3.36, 2 Tm 3.39
Tm  0.7551  0.2552  0.0001  1 Er 3.24, 3 Nd 3.37-3.41, 2 Tm 3.39, 2 Pr 3.41
Tm  0.7549  0.7500  0.0049  1 Pr 3.31, 3 Nd 3.31-3.46, 2 Er 3.36, 2 Tm 3.39
Tm  0.7551  0.7550  0.4999  1 Er 3.24, 3 Nd 3.37-3.41, 2 Tm 3.39, 2 Pr 3.41

Values from the calculation:
Space group: Imma, No. 74

---

9.
PrNdEr5Tm2: relaxed, PBE.

Cell lengths 10.2460, 10.2460, 10.5728 Å; angles 90.00, 90.00, 148.37 degrees
Closest atoms and distances in Å follow each position.
Sites, in units of the cell vectors:
Pr  0.0821  0.9179  0.5000  5 Er 3.06-3.24
Pr  0.9179  0.0821  0.0000  5 Er 3.06-3.24
Nd  0.2984  0.7016  0.0641  2 Tm 3.44-3.69, 8 Er 3.48-3.74, 2 Pr 3.72
Nd  0.7016  0.2984  0.5641  2 Tm 3.44-3.69, 8 Er 3.48-3.74, 2 Pr 3.72
Er  0.0228  0.9772  0.7862  2 Pr 3.06-3.24, 1 Er 3.42
Er  0.1087  0.8913  0.0753  6 Er 3.42-3.79, 4 Tm 3.53-3.58, 1 Nd 3.74
Er  0.2013  0.7987  0.7611  3 Er 3.38-3.53, 3 Nd 3.48-3.73, 3 Tm 3.49-3.73, 1 Pr 3.63
Er  0.2185  0.7815  0.3611  1 Pr 3.06, 1 Tm 3.32, 2 Er 3.38
Er  0.4830  0.5170  0.0792  2 Pr 3.19, 2 Tm 3.33-3.37, 2 Er 3.55
Er  0.5170  0.4830  0.5792  2 Pr 3.19, 2 Tm 3.33-3.37, 2 Er 3.55
Er  0.7815  0.2185  0.8611  1 Pr 3.06, 1 Tm 3.32, 2 Er 3.38
Er  0.7987  0.2013  0.2611  3 Er 3.38-3.53, 3 Nd 3.48-3.73, 3 Tm 3.49-3.73, 1 Pr 3.63
Er  0.8913  0.1087  0.5753  6 Er 3.42-3.79, 4 Tm 3.53-3.58, 1 Nd 3.74
Er  0.9772  0.0228  0.2862  2 Pr 3.06-3.24, 1 Er 3.42
Tm  0.3869  0.6131  0.3719  9 Er 3.32-3.63, 1 Nd 3.69
Tm  0.3901  0.6099  0.7868  6 Er 3.33-3.60, 1 Nd 3.44, 2 Pr 3.63
Tm  0.6099  0.3901  0.2868  6 Er 3.33-3.60, 1 Nd 3.44, 2 Pr 3.63
Tm  0.6131  0.3869  0.8719  9 Er 3.32-3.63, 1 Nd 3.69

Values from the calculation:
Space group: Cmc2_1, No. 36

---

| no. | raw total energy (eV for the cell shown) | M_tot (Bohr magnetons per cell) | E_form (eV per formula unit) |
| --- | --- | --- | --- |
| 1 | -54.28 | 0.000 | 0.48 |
| 2 | -54.78 | 0.000 | 0.28 |
| 3 | -54.81 | 0.000 | 0.30 |
| 4 | -54.83 | 0.000 | 0.40 |
| 5 | -91.63 | 0.000 | 1.13 |
| 6 | -74.40 | 0.000 | 0.16 |
| 7 | -80.00 | 0.000 | 2.43 |
| 8 | -66.85 | 0.069 | 3.34 |
| 9 | -79.60 | 0.000 | 1.50 |